First-principles (SCAN) data for Ta3Mo4 at its PBEsol-relaxed geometry, as listed in the Alexandria database.

Unit cell a=11.417 b=11.417 c=11.417 alpha=164.00 beta=164.00 gamma=22.71
Fractional positions:
Ta1 0.000 0.000 0.000
Ta2 0.142 0.142 0.000
Ta3 0.719 0.719 0.000
Mo1 0.290 0.290 0.000
Mo2 0.427 0.427 0.000
Mo3 0.571 0.571 0.000
Mo4 0.859 0.859 0.000

Summary:
DFT formation energy ... -157 meV/atom
Space-group type ... I4mm (107)


First-principles (SCAN) data for Ta3Mo5 at its PBEsol-relaxed geometry, as listed in the Alexandria database.

Unit cell a=6.354 b=6.354 c=3.177 alpha=90.00 beta=90.00 gamma=90.00
Fractional positions:
Ta1 0.000 0.000 0.000
Ta2 0.000 0.500 0.000
Ta3 0.500 0.000 0.000
Mo1 0.253 0.253 0.500
Mo2 0.253 0.747 0.500
Mo3 0.500 0.500 0.000
Mo4 0.747 0.253 0.500
Mo5 0.747 0.747 0.500

Summary:
E above lowest polymorph ... 0 meV per atom
DFT formation energy ... -184 meV/atom
Space-group type ... P4/mmm (123)